A plane-wave DFT calculation with PBE was carried out for a relaxed structure of BaTl2CrGe.

Results
E   -3.944 eV per atom
SG   P4/mmm
Crystal system   tetragonal

abc: 5.713 4.939 5.713
angles: 90.00 90.00 90.00
Fractional positions:
Tl 0.500 0.000 0.000
Ba 0.500 0.500 0.500
Tl 0.000 0.000 0.500
Cr 0.000 0.500 0.000
Ge 0.000 0.000 0.000

---

A plane-wave DFT calculation with PBE was carried out for a relaxed structure of Ba2TlCrGe.

Results
E   -3.222 eV per atom
SG   P4/mmm
Crystal system   tetragonal

abc: 6.489 4.984 6.489
angles: 90.00 90.00 90.00
Fractional positions:
Tl 0.000 0.000 0.000
Ge 0.500 0.500 0.500
Cr 0.000 0.500 0.000
Ba 0.500 0.000 0.000
Ba 0.000 0.000 0.500